[1]
The following is a DFT calculation (GGA-PBEsol) of CsEuCl3 after structural relaxation.

POSCAR file:
```
CsEuCl3
1.0
-7.662 0.100 -0.720
0.454 -5.500 -5.597
-0.823 -7.868 7.665
Cs Eu Cl
4 4 12
Cartesian
-0.088 -4.463 -0.633
-7.943 -8.806 1.981
-4.515 -6.103 5.123
-3.516 -7.165 -3.775
0.000 0.000 0.000
-3.604 -2.700 -3.158
-0.411 -3.934 3.833
-4.016 -6.634 0.674
-2.155 -1.405 -1.127
-5.876 -11.864 2.476
-6.717 -9.105 5.217
-5.522 -8.472 -0.828
-1.314 -4.163 -3.868
-2.509 -4.796 2.176
-1.669 -7.554 -0.564
-6.362 -5.714 1.913
-4.302 -4.733 -1.362
-3.729 -8.536 2.710
-0.667 -11.323 0.178
-7.364 -1.945 1.170
```

The space group is Pnma. The total DFT energy (no corrections) is -5.74 eV per atom. The value obtained for the uncorrected formation energy is -2231.4 meV/atom. Its magnetic moment is 28.0 μB/cell.

***

[2]
The following is a DFT calculation (GGA-PBEsol) of BeCu2Au after structural relaxation.

POSCAR file:
```
BeCu2Au
1.0
2.718 0.000 -0.089
0.000 3.684 0.000
-1.179 0.000 4.862
Be Au Cu
1 1 2
Cartesian
0.979 1.842 3.538
-0.409 0.000 2.614
2.210 0.000 -0.026
0.886 1.842 0.989
```

The space group is Pm. For the energy of formation, the calculation gives -0.034 eV/atom. The total DFT energy (no corrections) is -4.18 eV per atom. Its magnetic moment is 0.0 μB/cell.

***

[3]
The following is a DFT calculation (GGA-PBEsol) of LiCaTl2 after structural relaxation.

POSCAR file:
```
LiCaTl2
1.0
-2.154 -0.696 -2.823
-2.546 -3.526 2.813
-3.374 3.752 1.650
Tl Ca Li
2 1 1
Cartesian
-4.967 2.820 -0.960
-4.249 -1.157 -0.528
-2.196 1.284 -0.377
-4.954 1.166 1.746
```

The space group is Pm. For the energy of formation, the calculation gives -0.340 eV/atom. The total DFT energy (no corrections) is -2.68 eV per atom. Its magnetic moment is 0.0 μB/cell.

***

What is the magnetic moment in the third record? 0.0 μB/cell

***

Copy entry 3 word for word.
The following is a DFT calculation (GGA-PBEsol) of LiCaTl2 after structural relaxation.

POSCAR file:
```
LiCaTl2
1.0
-2.154 -0.696 -2.823
-2.546 -3.526 2.813
-3.374 3.752 1.650
Tl Ca Li
2 1 1
Cartesian
-4.967 2.820 -0.960
-4.249 -1.157 -0.528
-2.196 1.284 -0.377
-4.954 1.166 1.746
```

The space group is Pm. For the energy of formation, the calculation gives -0.340 eV/atom. The total DFT energy (no corrections) is -2.68 eV per atom. Its magnetic moment is 0.0 μB/cell.

***

What is the formula in the second record? BeCu2Au

***

Which value of total DFT energy (no corrections) does entry 3 give? -2.68 eV per atom